Density functional theory data (PBE) for crystalline Lu2Zn3Mo4C3 at its relaxed geometry.

Geometry as CIF:
```
data_Lu2Zn3Mo4C3
_space_group_name_H-M_alt 'P 1'
_space_group_IT_number 1
_cell_length_a 5.4487
_cell_length_b 5.4487
_cell_length_c 14.0135
_cell_angle_alpha 102.10
_cell_angle_beta 102.10
_cell_angle_gamma 60.08
loop_
_space_group_symop_operation_xyz
'x,y,z'
loop_
_atom_site_label
_atom_site_fract_x
_atom_site_fract_y
_atom_site_fract_z
_atom_site_occupancy
C1 0.6700 0.1597 0.9998 1
C2 0.0000 0.5000 0.0000 1
Lu1 0.6194 0.4589 0.8851 1
Lu2 0.4589 0.6194 0.3851 1
C3 0.5000 0.0000 0.5000 1
Zn1 0.0981 0.4118 0.7479 1
Lu3 0.5411 0.3806 0.6149 1
Mo1 0.9838 0.7934 0.9213 1
Mo2 0.0162 0.2066 0.0787 1
Zn2 0.4118 0.0981 0.2479 1
C4 0.3300 0.8403 0.0002 1
Zn3 0.9280 0.0720 0.2500 1
Mo3 0.3051 0.1503 0.9215 1
C5 0.8403 0.3300 0.5002 1
Mo4 0.2066 0.0162 0.5787 1
Mo5 0.8497 0.6949 0.5785 1
Mo6 0.6949 0.8497 0.0785 1
Zn4 0.0720 0.9280 0.7500 1
Zn5 0.5882 0.9019 0.7521 1
C6 0.1597 0.6700 0.4998 1
Mo7 0.7934 0.9838 0.4213 1
Mo8 0.1503 0.3051 0.4215 1
Zn6 0.9019 0.5882 0.2521 1
Lu4 0.3806 0.5411 0.1149 1
```

Properties
calculated total energy = -175.1 eV/cell